Compound: AcNdThHg
Source: Alexandria via LeMat-Bulk
Functional: PBE-GGA
Structure: relaxed

Calculated values
As for the space-group type: F-43m. The magnetization is 0.00 μB per formula unit. The calculation puts the energy of formation at 0.36 eV per formula unit.

Cell: 5.661 5.661 5.661 Å, 60.00 60.00 60.00°
Positions (direct):
Ac  0.000  0.000  0.000
Nd  0.250  0.250  0.250
Th  0.750  0.750  0.750
Hg  0.500  0.500  0.500